Entry 1:
## Dy2HoGa (GGA-PBE)

Data for crystalline Dy2HoGa at its relaxed geometry.

Calculated values
* energy relative to the lowest polymorph listed for this composition: 83 meV/atom
* ΔE_f: -0.78 eV per formula unit
* magnetic moment: 0.68 μB per cell
* DOS(E_F): 0.947 states/eV/atom

Cell: 3.6043 3.6043 10.3631 Å, 79.99 79.99 60.00°
With the nearest neighbours (Å) after each atom.
Element x y z (fractional)
Dy 0.2619 0.2619 0.2142  3 Ga 3.00
Dy 0.0715 0.0715 0.7856  3 Ga 3.02
Ho 0.5003 0.5003 0.4992  6 Dy 3.56-3.58, 6 Ho 3.60
Ga 0.6663 0.6663 0.0010  6 Dy 3.00-3.02

***

Entry 2:
## ErHfNiRu (GGA-PBE)

Data for crystalline ErHfNiRu at its relaxed geometry.

Calculated values
* ΔE_f: -1.94 eV per formula unit
* magnetic moment: 0.00 μB per cell
* DOS(E_F): 0.505 states/eV/atom

Cell: 4.6491 4.6491 4.6491 Å, 60.00 60.00 60.00°
With the nearest neighbours (Å) after each atom.
Element x y z (fractional)
Er 0.5000 0.5000 0.5000  4 Ru 2.85, 4 Ni 2.85
Ni 0.2500 0.2500 0.2500  4 Hf 2.85, 4 Er 2.85
Hf 0.0000 0.0000 0.0000  4 Ru 2.85, 4 Ni 2.85
Ru 0.7500 0.7500 0.7500  4 Er 2.85, 4 Hf 2.85

***

Entry 3:
## FeCu2Pt (GGA-PBE)

Data for crystalline FeCu2Pt at its relaxed geometry.

Calculated values
* ΔE_f: 0.27 eV per formula unit
* magnetic moment: 2.78 μB per cell
* DOS(E_F): 0.591 states/eV/atom

Cell: 2.6111 2.6111 8.7736 Å, 90.00 90.00 116.91°
With the nearest neighbours (Å) after each atom.
Element x y z (fractional)
Fe 0.5000 0.5000 0.2500  4 Cu 2.51, 6 Fe 2.61-2.73
Pt 0.5000 0.5000 0.7500  6 Pt 2.61-2.73, 4 Cu 2.66
Cu 0.0000 0.0000 0.4894  2 Fe 2.51, 6 Cu 2.61-2.73, 2 Pt 2.66
Cu 0.0000 0.0000 0.0106  2 Fe 2.51, 6 Cu 2.61-2.73, 2 Pt 2.66

***

Entry 4:
## PmDyBiI (GGA-PBE)

Data for crystalline PmDyBiI at its relaxed geometry.

Calculated values
* ΔE_f (raw): -753 meV per atom
* magnetic moment: 1.10 μB per cell
* DOS(E_F): 0.838 states/eV/atom

Cell: 5.5070 5.5070 5.5070 Å, 60.00 60.00 60.00°
With the nearest neighbours (Å) after each atom.
Element x y z (fractional)
Pm 0.7500 0.7500 0.7500  4 I 3.37, 4 Bi 3.37
Dy 0.2500 0.2500 0.2500  4 Bi 3.37, 4 I 3.37
Bi 0.0000 0.0000 0.0000  4 Dy 3.37, 4 Pm 3.37
I 0.5000 0.5000 0.5000  4 Pm 3.37, 4 Dy 3.37

***

Q: Which formula does entry 4 have?
A: PmDyBiI

***

Q: magnetic moment of number 3 (FeCu2Pt)?
A: 2.78 μB per cell

***

Q: Number 4 is which compound?
A: PmDyBiI

***

Q: Among the records above, which one has the highest DOS(E_F)?
A: Dy2HoGa